BaCaCl2O: optimized geometry, PBE.

Output
- formation energy (no corrections) (eV per atom) = -2.228
- theoretical density (kg/m3) = 3506
- V (Å³ per atom) = 25.0

```
BaCaCl2O
1.0
5.3025 0.0000 0.0000
0.0000 5.3025 0.0000
0.0000 0.0002 4.4520
Cl Ca Ba O
2 1 1 1
direct
0.0000 0.5000 0.0000 Cl
0.5000 0.0000 0.0000 Cl
0.0000 0.0000 0.0002 Ca
0.5000 0.5000 0.4997 Ba
0.0000 0.0000 0.5001 O
```